A plane-wave DFT calculation with PBE+U was carried out for an optimized crystal structure of RbCo2BiF8.

a b c (Å): 5.048 5.522 7.847
angles (deg): 79.30 81.33 78.31
Positions (direct):
Rb 0.000 0.000 0.500
Co 0.455 0.450 0.712
Co 0.545 0.550 0.288
Bi 0.000 0.000 0.000
F 0.166 0.716 0.233
F 0.670 0.763 0.067
F 0.777 0.244 0.204
F 0.834 0.284 0.767
F 0.330 0.237 0.933
F 0.223 0.756 0.796
F 0.604 0.690 0.493
F 0.396 0.310 0.507

Space-group type: No. 2
N(E_F): 0.0000 states/eV/atom
Final energy: -4.795 eV/atom